No. 1
LiNdS2: optimized geometry, PBE.

a b c (Å): 4.0503 4.0503 5.5064
angles (deg): 90.00 90.00 90.00
Closest atoms and distances in Å follow each position.
Atoms (fractional coordinates):
Li: 0.0000 0.0000 0.0000  6 S 2.75-2.86
Nd: 0.5000 0.5000 0.5000  6 S 2.75-2.86
S: 0.0000 0.0000 0.5000  2 Li 2.75, 4 Nd 2.86
S: 0.5000 0.5000 0.0000  2 Nd 2.75, 4 Li 2.86

Energy relative to the elements, uncorrected: -661 kJ/mol of formula units

No. 2
LiNd2S: optimized geometry, PBE.

a b c (Å): 8.9714 8.9714 8.9714
angles (deg): 25.24 25.24 25.24
Closest atoms and distances in Å follow each position.
Atoms (fractional coordinates):
Li: 0.0000 0.0000 0.0000  6 Nd 3.50-3.52
Nd: 0.5633 0.5633 0.5633  3 S 2.80
Nd: 0.7692 0.7692 0.7692  3 S 2.81
S: 0.1668 0.1668 0.1668  6 Nd 2.80-2.81

Excess energy over the best structure of this formula in the dataset: 0 meV per atom
Energy relative to the elements, uncorrected: -321 kJ/mol of formula units

Number 1: N(E_F) 0.0 states/eV/cell. Number 2: N(E_F) 3.3 states/eV/cell.